Model a:
Material: Y2ScCo
Method: DFT, PBE
State: relaxed

Properties
Symmetry: P4/mmm

Lattice parameters (Å, degrees): 7.965 4.983 3.716 89.97 62.24 128.72
Last column: magnetic moment on the atom in μB.
Sites, in units of the cell vectors:
Co: 0.000 0.500 0.500  0.76
Sc: 0.500 0.500 0.000  -0.06
Y: 0.000 0.000 0.000  -0.10
Y: 0.500 0.000 0.500  -0.10

---

Model b:
Material: Y2ScCo
Method: DFT, PBE
State: relaxed

Properties
Symmetry: Immm

Lattice parameters (Å, degrees): 6.035 6.035 5.175 64.60 64.60 34.05
Sites, in units of the cell vectors:
Co: 0.250 0.250 0.250
Sc: 0.750 0.750 0.750
Y: 0.944 0.944 0.056
Y: 0.556 0.556 0.444

---

Model c:
Material: Y2ScCo
Method: DFT, PBE
State: relaxed

Properties
Symmetry: F-43m

Lattice parameters (Å, degrees): 5.033 5.033 5.033 60.00 60.00 60.00
Last column: magnetic moment on the atom in μB.
Sites, in units of the cell vectors:
Co: 0.500 0.500 0.500  0.36
Sc: 0.750 0.750 0.750  -0.20
Y: 0.000 0.000 0.000  -0.17
Y: 0.250 0.250 0.250  -0.11

---

Winner for stability: model b

---

Model a:
Material: Y2ScCo
Method: DFT, PBE
State: relaxed

Properties
Symmetry: P4/mmm

Lattice parameters (Å, degrees): 3.404 3.413 8.988 67.69 90.00 90.00
Last column: magnetic moment on the atom in μB.
Sites, in units of the cell vectors:
Co: 0.500 0.250 0.250  1.01
Sc: 0.500 0.750 0.750  0.50
Y: 0.000 0.947 0.053  0.01
Y: 0.000 0.553 0.447  0.01

---

Model b:
Material: Y2ScCo
Method: DFT, PBE
State: relaxed

Properties
Symmetry: P4mm

Lattice parameters (Å, degrees): 3.309 3.309 8.696 90.00 90.00 90.06
Last column: magnetic moment on the atom in μB.
Sites, in units of the cell vectors:
Co: 0.000 0.000 0.519  0.82
Sc: 0.500 0.500 0.679  -0.09
Y: 0.000 0.000 0.983  0.04
Y: 0.500 0.500 0.319  -0.05

---

Winner for stability: model b

---

Model a:
Material: Y2ScCo
Method: DFT, PBE
State: relaxed

Properties
Symmetry: I-42d

Lattice parameters (Å, degrees): 8.166 8.166 6.503 51.10 51.10 90.00
Sites, in units of the cell vectors:
Y: 0.701 0.125 0.250
Y: 0.049 0.625 0.250
Y: 0.375 0.299 0.750
Y: 0.875 0.951 0.750
Sc: 0.500 0.500 0.000
Sc: 0.250 0.750 0.500
Co: 0.000 0.000 0.000
Co: 0.750 0.250 0.500

---

Model b:
Material: Y2ScCo
Method: DFT, PBE
State: relaxed

Properties
Symmetry: Pnma

Lattice parameters (Å, degrees): 6.147 6.808 9.195 90.00 90.00 90.00
Sites, in units of the cell vectors:
Y: 0.179 0.681 0.066
Y: 0.321 0.181 0.434
Y: 0.821 0.319 0.566
Y: 0.679 0.819 0.934
Y: 0.821 0.319 0.934
Y: 0.679 0.819 0.566
Y: 0.179 0.681 0.434
Y: 0.321 0.181 0.066
Sc: 0.644 0.547 0.250
Sc: 0.856 0.047 0.250
Sc: 0.356 0.453 0.750
Sc: 0.144 0.953 0.750
Co: 0.017 0.386 0.250
Co: 0.483 0.886 0.250
Co: 0.983 0.614 0.750
Co: 0.517 0.114 0.750

---

Model c:
Material: Y2ScCo
Method: DFT, PBE
State: relaxed

Properties
Symmetry: I-4m2

Lattice parameters (Å, degrees): 5.950 5.950 5.950 138.22 138.22 60.57
Last column: magnetic moment on the atom in μB.
Sites, in units of the cell vectors:
Co: 0.500 0.500 0.000  0.86
Sc: 0.750 0.250 0.500  0.17
Y: 0.000 0.000 0.000  -0.06
Y: 0.250 0.750 0.500  0.09

---

Model d:
Material: Y2ScCo
Method: DFT, PBE
State: relaxed

Properties
Symmetry: R-3m

Lattice parameters (Å, degrees): 9.352 9.352 9.352 22.18 22.18 22.18
Last column: magnetic moment on the atom in μB.
Sites, in units of the cell vectors:
Co: 0.250 0.250 0.250  0.07
Sc: 0.750 0.750 0.750  0.36
Y: 0.978 0.978 0.978  0.04
Y: 0.522 0.522 0.522  0.04

---

Winner for stability: model b

---

Model a:
Material: YSc2Co
Method: DFT, PBE
State: relaxed

Properties
Symmetry: R-3m

Lattice parameters (Å, degrees): 10.042 10.042 10.042 19.30 19.30 19.30
Sites, in units of the cell vectors:
Y: 0.000 0.000 0.000
Sc: 0.887 0.887 0.887
Sc: 0.113 0.113 0.113
Co: 0.500 0.500 0.500

---

Model b:
Material: YSc2Co
Method: DFT, PBE
State: relaxed

Properties
Symmetry: Cmcm

Lattice parameters (Å, degrees): 3.507 6.043 8.726 90.00 90.00 106.88
Sites, in units of the cell vectors:
Y: 0.927 0.855 0.250
Y: 0.073 0.145 0.750
Sc: 0.355 0.710 0.570
Sc: 0.645 0.290 0.430
Sc: 0.355 0.710 0.930
Sc: 0.645 0.290 0.070
Co: 0.757 0.515 0.750
Co: 0.243 0.485 0.250

---

Model c:
Material: YSc2Co
Method: DFT, PBE
State: relaxed

Properties
Symmetry: R3m

Lattice parameters (Å, degrees): 3.681 3.681 8.322 77.22 77.22 60.00
Sites, in units of the cell vectors:
Y: 0.501 0.501 0.496
Sc: 0.054 0.054 0.839
Sc: 0.278 0.278 0.166
Co: 0.667 0.667 0.000

---

Winner for stability: model b

---

Model a:
Material: YSc2Co
Method: DFT, PBE
State: relaxed

Properties
Symmetry: Pnma

Lattice parameters (Å, degrees): 5.977 6.652 8.883 90.00 90.00 90.00
Sites, in units of the cell vectors:
Y: 0.629 0.535 0.250
Y: 0.871 0.035 0.250
Y: 0.371 0.465 0.750
Y: 0.129 0.965 0.750
Sc: 0.172 0.672 0.067
Sc: 0.328 0.172 0.433
Sc: 0.828 0.328 0.567
Sc: 0.672 0.828 0.933
Sc: 0.828 0.328 0.933
Sc: 0.672 0.828 0.567
Sc: 0.172 0.672 0.433
Sc: 0.328 0.172 0.067
Co: 0.074 0.391 0.250
Co: 0.426 0.891 0.250
Co: 0.926 0.609 0.750
Co: 0.574 0.109 0.750

---

Model b:
Material: YSc2Co
Method: DFT, PBE
State: relaxed

Properties
Symmetry: Fm-3m

Lattice parameters (Å, degrees): 4.881 4.881 4.881 60.00 60.00 60.00
Sites, in units of the cell vectors:
Y: 0.500 0.500 0.500
Sc: 0.250 0.250 0.250
Sc: 0.750 0.750 0.750
Co: 0.000 0.000 0.000

---

Model c:
Material: YSc2Co
Method: DFT, PBE
State: relaxed

Properties
Symmetry: Immm

Lattice parameters (Å, degrees): 5.933 5.933 5.933 147.15 129.50 61.57
Sites, in units of the cell vectors:
Y: 0.750 0.250 0.500
Sc: 0.054 0.054 0.000
Sc: 0.446 0.446 0.000
Co: 0.250 0.750 0.500

---

Winner for stability: model a

---

Model a:
Material: YSc2Co
Method: DFT, PBE
State: relaxed

Properties
Symmetry: F-43m

Lattice parameters (Å, degrees): 4.905 4.905 4.905 120.03 120.03 89.94
Sites, in units of the cell vectors:
Co: 0.750 0.250 0.500
Sc: 0.000 0.000 0.000
Sc: 0.250 0.750 0.500
Y: 0.500 0.500 0.000

---

Model b:
Material: YSc2Co
Method: DFT, PBE
State: relaxed

Properties
Symmetry: C2/m

Lattice parameters (Å, degrees): 5.185 5.972 3.236 75.93 86.33 114.63
Last column: magnetic moment on the atom in μB.
Sites, in units of the cell vectors:
Co: 0.500 0.500 0.000  1.17
Sc: 0.000 0.000 0.000  -0.09
Sc: 0.500 0.000 0.500  -0.09
Y: 0.000 0.500 0.500  -0.12

---

Winner for stability: model a